No. 1
This record from the Alexandria database describes Cd9In2Hg4 after structural relaxation. The functional is PBE.

As for the energy of formation: 0.0469 eV/atom. The density is 8929 kg/m3.

The space group is P-3m1 (No. 164) and the conventional cell measures 5.0128, 5.0128 and 17.4645 Å, with angles of 90.00, 90.00 and 120.00 degrees. The inequivalent atoms are Cd at (0.0000, 0.0000, 0.0000), Cd at (0.0000, 0.0000, 0.1728), Cd at (0.0000, 0.0000, 0.3432), Cd at (0.3333, 0.6667, 0.0584), Cd at (0.3333, 0.6667, 0.4480), In at (0.3333, 0.6667, 0.2569), Hg at (0.3333, 0.6667, 0.6177) and Hg at (0.3333, 0.6667, 0.8637).


No. 2
This record from the Alexandria database describes CdIn5Hg2 after structural relaxation. The functional is PBE.

For the distance to the lowest polymorph of the same formula, the calculation gives 1.0 kJ/mol of atoms. As for the energy of formation: 0.0245 eV/atom. The density is 8483 kg/m3.

The space group is I4/mcm (No. 140) and the conventional cell measures 8.2881, 8.2881 and 12.3976 Å, with angles of 90.00, 90.00 and 90.00 degrees. The inequivalent atoms are Cd at (0.0000, 0.0000, 0.2500), In at (0.0000, 0.0000, 0.0000), In at (0.1504, 0.3496, 0.1616) and Hg at (0.1481, 0.3519, 0.5000).


No. 3
This record from the Alexandria database describes Cd3InHg after structural relaxation. The functional is PBE.

For the distance to the lowest polymorph of the same formula, the calculation gives 1.4 kJ/mol of atoms. As for the energy of formation: 0.0443 eV/atom. The density is 8703 kg/m3.

The space group is P2_1/m (No. 11) and the conventional cell measures 5.0844, 6.5695 and 7.5358 Å, with angles of 90.00, 98.34 and 90.00 degrees. The inequivalent atoms are Cd at (0.1238, 0.0089, 0.2043), Cd at (0.2685, 0.7500, 0.5899), In at (0.2960, 0.2500, 0.6265) and Hg at (0.4641, 0.7500, 0.9802).


No. 4
This record from the Alexandria database describes Cd5In6Hg5 after structural relaxation. The functional is PBE.

As for the energy of formation: 0.0296 eV/atom. The density is 8961 kg/m3.

The space group is Amm2 (No. 38) and the conventional cell measures 6.2555, 18.2879 and 7.3017 Å, with angles of 90.00, 90.00 and 90.00 degrees. The inequivalent atoms are Cd at (0.0000, 0.0000, 0.0000), Cd at (0.2505, 0.1315, 0.1517), In at (0.0000, 0.0000, 0.4347), In at (0.0000, 0.2328, 0.4276), In at (0.5000, 0.0000, 0.9045), In at (0.5000, 0.2417, 0.8882), Hg at (0.0000, 0.1187, 0.7243), Hg at (0.5000, 0.0000, 0.3362) and Hg at (0.5000, 0.1182, 0.6174).


Total magnetic moment for the records above, in order: 0.00; 0.00; 0.00; 0.00 μB per formula unit